Material: PrEuSi4
Method: DFT, PBE-GGA
State: relaxed

DFT total energy   -38.52 eV/f.u.
Symmetry   F-43m (216)
Mass density   5.80 Mg/m³
Formation energy (no corrections)   -0.296 eV per atom
N(E_F)   3.7 states/eV/f.u.
Total magnetization   7.2 μB/f.u.

POSCAR file:
```
PrEuSi4
1.0
0.0000 3.8710 3.8710
3.8710 0.0000 3.8710
3.8710 3.8710 0.0000
Pr Eu Si
1 1 4
Direct
0.0000 0.0000 0.0000 Pr
0.7500 0.7500 0.7500 Eu
0.3702 0.3702 0.3702 Si
0.3702 0.3702 0.8895 Si
0.3702 0.8895 0.3702 Si
0.8895 0.3702 0.3702 Si
```


Material: PrEuZnSi
Method: DFT, PBE-GGA
State: relaxed

DFT total energy   -23.26 eV/f.u.
Symmetry   F-43m (216)
Mass density   6.42 Mg/m³
Formation energy (no corrections)   -0.379 eV per atom
N(E_F)   2.8 states/eV/f.u.
Total magnetization   7.4 μB/f.u.

POSCAR file:
```
PrEuZnSi
1.0
7.3657 0.0000 0.0000
0.0000 7.3657 0.0000
0.0000 0.0000 7.3657
Pr Eu Zn Si
4 4 4 4
Direct
0.0000 0.0000 0.0000 Pr
0.0000 0.5000 0.5000 Pr
0.5000 0.0000 0.5000 Pr
0.5000 0.5000 0.0000 Pr
0.0000 0.0000 0.5000 Eu
0.0000 0.5000 0.0000 Eu
0.5000 0.0000 0.0000 Eu
0.5000 0.5000 0.5000 Eu
0.2500 0.2500 0.7500 Zn
0.2500 0.7500 0.2500 Zn
0.7500 0.2500 0.2500 Zn
0.7500 0.7500 0.7500 Zn
0.2500 0.2500 0.2500 Si
0.2500 0.7500 0.7500 Si
0.7500 0.2500 0.7500 Si
0.7500 0.7500 0.2500 Si
```


Material: PrSm2Eu
Method: DFT, PBE-GGA
State: relaxed

Formation energy   0.05 eV per atom
DFT total energy   -24.31 eV/f.u.
Symmetry   P4/mmm (123)
Mass density   6.83 Mg/m³
N(E_F)   5.5 states/eV/f.u.
Total magnetization   7.6 μB/f.u.

POSCAR file:
```
PrSm2Eu
1.0
3.7101 0.0000 0.0000
0.0000 3.7101 0.0000
0.0000 0.0000 10.4885
Pr Sm Eu
1 2 1
Direct
0.0000 0.0000 0.0000 Pr
0.5000 0.5000 0.2390 Sm
0.5000 0.5000 0.7610 Sm
0.0000 0.0000 0.5000 Eu
```


Material: PrSmEu
Method: DFT, PBE-GGA
State: relaxed

Formation energy   0.03 eV per atom
DFT total energy   -19.69 eV/f.u.
Symmetry   I4mm (107)
Mass density   6.65 Mg/m³
N(E_F)   3.2 states/eV/f.u.
Total magnetization   7.4 μB/f.u.

POSCAR file:
```
PrSmEu
1.0
3.7371 0.0000 0.0000
0.0000 3.7371 0.0000
0.0000 0.0000 15.8450
Pr Sm Eu
2 2 2
Direct
0.0000 0.0000 0.0000 Pr
0.5000 0.5000 0.5000 Pr
0.0000 0.0000 0.6534 Sm
0.5000 0.5000 0.1534 Sm
0.0000 0.0000 0.3251 Eu
0.5000 0.5000 0.8251 Eu
```


Material: PrSmEu
Method: DFT, PBE-GGA
State: relaxed

Formation energy   0.03 eV per atom
DFT total energy   -19.68 eV/f.u.
Symmetry   P3m1 (156)
Mass density   6.68 Mg/m³
N(E_F)   3.4 states/eV/f.u.
Total magnetization   7.4 μB/f.u.

POSCAR file:
```
PrSmEu
1.0
3.7275 0.0000 0.0000
-1.8638 3.2281 0.0000
0.0000 0.0000 9.1600
Pr Sm Eu
1 1 1
Direct
0.0000 0.0000 0.0000 Pr
0.6667 0.3333 0.3152 Sm
0.3333 0.6667 0.6543 Eu
```


Material: PrSm4Eu
Method: DFT, PBE-GGA
State: relaxed

Formation energy   0.23 eV per atom
DFT total energy   -32.56 eV/f.u.
Symmetry   F-43m (216)
Mass density   6.64 Mg/m³
N(E_F)   8.2 states/eV/f.u.
Total magnetization   7.1 μB/f.u.

POSCAR file:
```
PrSm4Eu
1.0
0.0000 4.8167 4.8167
4.8167 0.0000 4.8167
4.8167 4.8167 0.0000
Pr Sm Eu
1 4 1
Direct
0.0000 0.0000 0.0000 Pr
0.1196 0.6268 0.6268 Sm
0.6268 0.1196 0.6268 Sm
0.6268 0.6268 0.1196 Sm
0.6268 0.6268 0.6268 Sm
0.2500 0.2500 0.2500 Eu
```


Material: PrSm2Eu
Method: DFT, PBE-GGA
State: relaxed

Formation energy   0.15 eV per atom
DFT total energy   -23.90 eV/f.u.
Symmetry   R-3m (166)
Mass density   6.76 Mg/m³
N(E_F)   6.3 states/eV/f.u.
Total magnetization   7.7 μB/f.u.

POSCAR file:
```
PrSm2Eu
1.0
3.6212 0.0000 0.0000
-1.8106 3.1361 0.0000
0.0000 0.0000 38.5031
Pr Sm Eu
3 6 3
Direct
0.0000 0.0000 0.0000 Pr
0.3333 0.6667 0.6667 Pr
0.6667 0.3333 0.3333 Pr
0.0000 0.0000 0.4102 Sm
0.0000 0.0000 0.5898 Sm
0.3333 0.6667 0.0768 Sm
0.3333 0.6667 0.2565 Sm
0.6667 0.3333 0.7435 Sm
0.6667 0.3333 0.9232 Sm
0.0000 0.0000 0.5000 Eu
0.3333 0.6667 0.1667 Eu
0.6667 0.3333 0.8333 Eu
```


Material: PrSm2Eu
Method: DFT, PBE-GGA
State: relaxed

Formation energy   0.15 eV per atom
DFT total energy   -23.90 eV/f.u.
Symmetry   Fm-3m (225)
Mass density   6.86 Mg/m³
N(E_F)   7.0 states/eV/f.u.
Total magnetization   8.4 μB/f.u.

POSCAR file:
```
PrSm2Eu
1.0
8.3139 0.0000 0.0000
0.0000 8.3139 0.0000
0.0000 0.0000 8.3139
Pr Sm Eu
4 8 4
Direct
0.0000 0.0000 0.0000 Pr
0.0000 0.5000 0.5000 Pr
0.5000 0.0000 0.5000 Pr
0.5000 0.5000 0.0000 Pr
0.2500 0.2500 0.2500 Sm
0.2500 0.2500 0.7500 Sm
0.2500 0.7500 0.2500 Sm
0.2500 0.7500 0.7500 Sm
0.7500 0.2500 0.2500 Sm
0.7500 0.2500 0.7500 Sm
0.7500 0.7500 0.2500 Sm
0.7500 0.7500 0.7500 Sm
0.0000 0.0000 0.5000 Eu
0.0000 0.5000 0.0000 Eu
0.5000 0.0000 0.0000 Eu
0.5000 0.5000 0.5000 Eu
```


Material: PrSm2Eu
Method: DFT, PBE-GGA
State: relaxed

Formation energy   0.13 eV per atom
DFT total energy   -23.95 eV/f.u.
Symmetry   P4/mmm (123)
Mass density   6.86 Mg/m³
N(E_F)   7.5 states/eV/f.u.
Total magnetization   8.0 μB/f.u.

POSCAR file:
```
PrSm2Eu
1.0
6.1036 0.0000 0.0000
0.0000 6.1036 0.0000
0.0000 0.0000 3.8595
Pr Sm Eu
1 2 1
Direct
0.0000 0.0000 0.0000 Pr
0.0000 0.5000 0.5000 Sm
0.5000 0.0000 0.5000 Sm
0.5000 0.5000 0.0000 Eu
```


Material: PrSmEuSn
Method: DFT, PBE-GGA
State: relaxed

Formation energy   -0.29 eV per atom
DFT total energy   -24.92 eV/f.u.
Symmetry   F-43m (216)
Mass density   7.57 Mg/m³
N(E_F)   6.1 states/eV/f.u.
Total magnetization   7.6 μB/f.u.

POSCAR file:
```
PrSmEuSn
1.0
7.8992 0.0000 0.0000
0.0000 7.8992 0.0000
0.0000 0.0000 7.8992
Pr Sm Eu Sn
4 4 4 4
Direct
0.0000 0.0000 0.0000 Pr
0.0000 0.5000 0.5000 Pr
0.5000 0.0000 0.5000 Pr
0.5000 0.5000 0.0000 Pr
0.0000 0.0000 0.5000 Sm
0.0000 0.5000 0.0000 Sm
0.5000 0.0000 0.0000 Sm
0.5000 0.5000 0.5000 Sm
0.2500 0.2500 0.2500 Eu
0.2500 0.7500 0.7500 Eu
0.7500 0.2500 0.7500 Eu
0.7500 0.7500 0.2500 Eu
0.2500 0.2500 0.7500 Sn
0.2500 0.7500 0.2500 Sn
0.7500 0.2500 0.2500 Sn
0.7500 0.7500 0.7500 Sn
```


Material: TbPrSmEu
Method: DFT, PBE-GGA
State: relaxed

Formation energy   0.14 eV per atom
DFT total energy   -23.84 eV/f.u.
Symmetry   F-43m (216)
Mass density   7.06 Mg/m³
N(E_F)   6.6 states/eV/f.u.
Total magnetization   8.1 μB/f.u.

POSCAR file:
```
TbPrSmEu
1.0
8.2743 0.0000 0.0000
0.0000 8.2743 0.0000
0.0000 0.0000 8.2743
Tb Pr Sm Eu
4 4 4 4
Direct
0.0000 0.0000 0.0000 Tb
0.0000 0.5000 0.5000 Tb
0.5000 0.0000 0.5000 Tb
0.5000 0.5000 0.0000 Tb
0.2500 0.2500 0.7500 Pr
0.2500 0.7500 0.2500 Pr
0.7500 0.2500 0.2500 Pr
0.7500 0.7500 0.7500 Pr
0.2500 0.2500 0.2500 Sm
0.2500 0.7500 0.7500 Sm
0.7500 0.2500 0.7500 Sm
0.7500 0.7500 0.2500 Sm
0.0000 0.0000 0.5000 Eu
0.0000 0.5000 0.0000 Eu
0.5000 0.0000 0.0000 Eu
0.5000 0.5000 0.5000 Eu
```


Material: PrSmEuTl
Method: DFT, PBE-GGA
State: relaxed

Formation energy   -0.08 eV per atom
DFT total energy   -22.48 eV/f.u.
Symmetry   F-43m (216)
Mass density   8.46 Mg/m³
N(E_F)   5.5 states/eV/f.u.
Total magnetization   7.6 μB/f.u.

POSCAR file:
```
PrSmEuTl
1.0
7.9803 0.0000 0.0000
0.0000 7.9803 0.0000
0.0000 0.0000 7.9803
Pr Sm Eu Tl
4 4 4 4
Direct
0.0000 0.0000 0.0000 Pr
0.0000 0.5000 0.5000 Pr
0.5000 0.0000 0.5000 Pr
0.5000 0.5000 0.0000 Pr
0.0000 0.0000 0.5000 Sm
0.0000 0.5000 0.0000 Sm
0.5000 0.0000 0.0000 Sm
0.5000 0.5000 0.5000 Sm
0.2500 0.2500 0.7500 Eu
0.2500 0.7500 0.2500 Eu
0.7500 0.2500 0.2500 Eu
0.7500 0.7500 0.7500 Eu
0.2500 0.2500 0.2500 Tl
0.2500 0.7500 0.7500 Tl
0.7500 0.2500 0.7500 Tl
0.7500 0.7500 0.2500 Tl
```